(1)
{
  "formula": "KOs2PdO8",
  "functional": "PBE",
  "state": "optimized geometry",
  "lattice": [[4.1153, -3.3036, 0.0000], [4.1153, 3.3036, 0.0000], [-2.4044, 0.0000, 6.8579]],
  "species": ["K", "Os", "Os", "Pd", "O", "O", "O", "O", "O", "O", "O", "O"],
  "fractional_positions": [[0.0000, 0.0000, 0.0000], [0.4485, 0.4485, 0.7595], [0.5515, 0.5515, 0.2405], [0.0000, 0.0000, 0.5000], [0.2237, 0.6889, 0.2720], [0.2555, 0.2555, 0.5455], [0.3111, 0.7763, 0.7280], [0.3426, 0.3426, 0.9440], [0.6574, 0.6574, 0.0560], [0.6889, 0.2237, 0.2720], [0.7445, 0.7445, 0.4545], [0.7763, 0.3111, 0.7280]],
  "crystal_system": "monoclinic",
  "sg": "C2/m (12)"
}



(2)
{
  "formula": "K2Os3PdO12",
  "functional": "PBE",
  "state": "optimized geometry",
  "lattice": [[3.6525, 2.1088, 5.7605], [-3.6525, 2.1088, 5.7605], [0.0000, -4.2175, 5.7605]],
  "species": ["K", "K", "Os", "Os", "Os", "Pd", "O", "O", "O", "O", "O", "O", "O", "O", "O", "O", "O", "O"],
  "fractional_positions": [[0.1258, 0.1258, 0.1258], [0.8742, 0.8742, 0.8742], [0.0000, 0.5000, 0.5000], [0.5000, 0.0000, 0.5000], [0.5000, 0.5000, 0.0000], [0.5000, 0.5000, 0.5000], [0.1557, 0.5813, 0.5813], [0.1916, 0.1916, 0.5724], [0.1916, 0.5724, 0.1916], [0.4187, 0.4187, 0.8442], [0.4187, 0.8442, 0.4187], [0.4276, 0.8084, 0.8084], [0.5724, 0.1916, 0.1916], [0.5813, 0.1558, 0.5813], [0.5813, 0.5813, 0.1558], [0.8084, 0.4276, 0.8084], [0.8084, 0.8084, 0.4276], [0.8442, 0.4187, 0.4187]],
  "crystal_system": "trigonal",
  "sg": "R-3m (166)"
}



(3)
{
  "formula": "KPmOs2O8",
  "functional": "PBE",
  "state": "optimized geometry",
  "lattice": [[6.0590, 0.0000, 0.0000], [-3.0295, 5.2473, 0.0000], [0.0000, 0.0000, 7.7208]],
  "species": ["K", "Pm", "Os", "Os", "O", "O", "O", "O", "O", "O", "O", "O"],
  "fractional_positions": [[0.0000, 0.0000, 0.0000], [0.0000, 0.0000, 0.5000], [0.3333, 0.6667, 0.7755], [0.6667, 0.3333, 0.2245], [0.1672, 0.3418, 0.6923], [0.1746, 0.8328, 0.6923], [0.3333, 0.6667, 0.0043], [0.3418, 0.1746, 0.3077], [0.6582, 0.8254, 0.6923], [0.6667, 0.3333, 0.9957], [0.8254, 0.1672, 0.3077], [0.8328, 0.6582, 0.3077]],
  "crystal_system": "trigonal",
  "sg": "P-3 (147)"
}



(4)
{
  "formula": "K3Pm3OsO8",
  "functional": "PBE",
  "state": "optimized geometry",
  "lattice": [[3.4894, 2.0146, 6.2862], [-3.4894, 2.0146, 6.2862], [0.0000, -4.0292, 6.2862]],
  "species": ["K", "K", "K", "Pm", "Pm", "Pm", "Os", "O", "O", "O", "O", "O", "O", "O", "O"],
  "fractional_positions": [[0.0000, 0.5000, 0.5000], [0.5000, 0.0000, 0.5000], [0.5000, 0.5000, 0.0000], [0.0000, 0.0000, 0.5000], [0.0000, 0.5000, 0.0000], [0.5000, 0.0000, 0.0000], [0.5000, 0.5000, 0.5000], [0.2303, 0.2303, 0.2303], [0.2592, 0.7074, 0.7074], [0.2926, 0.2926, 0.7408], [0.2926, 0.7408, 0.2926], [0.7074, 0.2592, 0.7074], [0.7074, 0.7074, 0.2592], [0.7408, 0.2926, 0.2926], [0.7697, 0.7697, 0.7697]],
  "crystal_system": "trigonal",
  "sg": "R-3m (166)"
}



(5)
{
  "formula": "K2PmOsO6",
  "functional": "PBE",
  "state": "optimized geometry",
  "lattice": [[0.0000, 4.2321, 4.2321], [4.2321, 0.0000, 4.2321], [4.2321, 4.2321, 0.0000]],
  "species": ["K", "K", "Pm", "Os", "O", "O", "O", "O", "O", "O"],
  "fractional_positions": [[0.2500, 0.2500, 0.2500], [0.7500, 0.7500, 0.7500], [0.0000, 0.0000, 0.0000], [0.5000, 0.5000, 0.5000], [0.2751, 0.2751, 0.7249], [0.2751, 0.7249, 0.2751], [0.2751, 0.7249, 0.7249], [0.7249, 0.2751, 0.2751], [0.7249, 0.2751, 0.7249], [0.7249, 0.7249, 0.2751]],
  "crystal_system": "cubic",
  "sg": "Fm-3m (225)"
}



(6)
{
  "formula": "K2Pm2OsO6",
  "functional": "PBE",
  "state": "optimized geometry",
  "lattice": [[2.9787, -5.1280, 0.0000], [2.9787, 5.1280, 0.0000], [-1.6887, 0.0000, 6.3872]],
  "species": ["K", "K", "Pm", "Pm", "Os", "O", "O", "O", "O", "O", "O"],
  "fractional_positions": [[0.1544, 0.8456, 0.0000], [0.8456, 0.1544, 0.0000], [0.3374, 0.6626, 0.5000], [0.6626, 0.3374, 0.5000], [0.0000, 0.0000, 0.5000], [0.0415, 0.3448, 0.6702], [0.2465, 0.2465, 0.3191], [0.3448, 0.0415, 0.6702], [0.6552, 0.9585, 0.3298], [0.7535, 0.7535, 0.6809], [0.9585, 0.6552, 0.3298]],
  "crystal_system": "monoclinic",
  "sg": "C2/m (12)"
}



(7)
{
  "formula": "KPm2OsO8",
  "functional": "PBE",
  "state": "optimized geometry",
  "lattice": [[4.2488, 0.0000, 0.0000], [0.0574, 5.3193, 0.0000], [1.9436, 0.0107, 7.0385]],
  "species": ["K", "Pm", "Pm", "Os", "O", "O", "O", "O", "O", "O", "O", "O"],
  "fractional_positions": [[0.0000, 0.0000, 0.0000], [0.3808, 0.5118, 0.2875], [0.6192, 0.4882, 0.7125], [0.0000, 0.0000, 0.5000], [0.1738, 0.4954, 0.0024], [0.1843, 0.3026, 0.5890], [0.2036, 0.7755, 0.6266], [0.3449, 0.9698, 0.2722], [0.6551, 0.0302, 0.7278], [0.7964, 0.2245, 0.3734], [0.8157, 0.6974, 0.4110], [0.8262, 0.5046, 0.9976]],
  "crystal_system": "triclinic",
  "sg": "P-1 (2)"
}



(8)
{
  "formula": "K4PmOs3O12",
  "functional": "PBE",
  "state": "optimized geometry",
  "lattice": [[-4.0820, 4.0820, 4.0820], [4.0820, -4.0820, 4.0820], [4.0820, 4.0820, -4.0820]],
  "species": ["K", "K", "K", "K", "Pm", "Os", "Os", "Os", "O", "O", "O", "O", "O", "O", "O", "O", "O", "O", "O", "O"],
  "fractional_positions": [[0.0000, 0.0000, 0.5000], [0.0000, 0.5000, 0.0000], [0.5000, 0.0000, 0.0000], [0.5000, 0.5000, 0.5000], [0.0000, 0.0000, 0.0000], [0.0000, 0.5000, 0.5000], [0.5000, 0.0000, 0.5000], [0.5000, 0.5000, 0.0000], [0.0000, 0.2728, 0.2728], [0.0000, 0.7272, 0.7272], [0.2500, 0.5000, 0.7500], [0.2500, 0.7500, 0.5000], [0.2728, 0.0000, 0.2728], [0.2728, 0.2728, 0.0000], [0.5000, 0.2500, 0.7500], [0.5000, 0.7500, 0.2500], [0.7272, 0.0000, 0.7272], [0.7272, 0.7272, 0.0000], [0.7500, 0.2500, 0.5000], [0.7500, 0.5000, 0.2500]],
  "crystal_system": "cubic",
  "sg": "Im-3m (229)"
}



Number 1: raw formation energy -94 kJ/mol of atoms, E -80.1 eV/cell. Number 2: raw formation energy -104 kJ/mol of atoms, E -120.0 eV/cell. Number 3: raw formation energy -147 kJ/mol of atoms, E -86.2 eV/cell. Number 4: raw formation energy -216 kJ/mol of atoms, E -102.0 eV/cell. Number 5: raw formation energy -183 kJ/mol of atoms, E -66.8 eV/cell. Number 6: raw formation energy -201 kJ/mol of atoms, E -75.5 eV/cell. Number 7: raw formation energy -189 kJ/mol of atoms, E -85.0 eV/cell. Number 8: raw formation energy -144 kJ/mol of atoms, E -132.1 eV/cell.